{"formula": "K3PdRu", "functional": "PBE", "state": "optimized geometry", "ef_ev_per_atom": 1.066, "n_ef_per_ev_cell": 5.85, "relative_energy_kj_per_mol_atoms": 0.0, "total_energy_ev_per_cell": -12.43, "lattice": [[-3.674, 4.199, -2.406], [-2.912, 0.494, 5.310], [3.865, 4.364, 1.714]], "species": ["K", "K", "K", "Pd", "Ru"], "fractional_positions": [[0.500, 0.000, 0.000], [0.000, 0.000, 0.500], [0.000, 0.500, 0.000], [0.000, 0.000, 0.000], [0.500, 0.500, 0.500]]}

---

{"formula": "KPdRu3", "functional": "PBE", "state": "optimized geometry", "ef_ev_per_atom": 1.822, "n_ef_per_ev_cell": 8.75, "relative_energy_kj_per_mol_atoms": 0.0, "total_energy_ev_per_cell": -25.01, "lattice": [[-0.256, 3.343, -3.592], [1.312, -3.420, -3.276], [-4.728, -1.130, -0.714]], "species": ["Pd", "Ru", "Ru", "Ru", "K"], "fractional_positions": [[0.000, 0.000, 0.000], [0.000, 0.000, 0.500], [0.500, 0.000, 0.000], [0.000, 0.500, 0.000], [0.500, 0.500, 0.500]]}

---

{"formula": "KPd3Ru", "functional": "PBE", "state": "optimized geometry", "ef_ev_per_atom": 1.955, "n_ef_per_ev_cell": 5.75, "relative_energy_kj_per_mol_atoms": 114.5, "total_energy_ev_per_cell": -16.17, "lattice": [[-2.097, -3.663, 2.398], [3.042, -3.131, -2.123], [3.149, 0.585, 3.648]], "species": ["Pd", "Pd", "Pd", "K", "Ru"], "fractional_positions": [[0.000, 0.000, 0.500], [0.500, 0.000, 0.000], [0.000, 0.500, 0.000], [0.000, 0.000, 0.000], [0.500, 0.500, 0.500]]}

---

{"formula": "KPd3Ru", "functional": "PBE", "state": "optimized geometry", "ef_ev_per_atom": 0.769, "n_ef_per_ev_cell": 6.43, "relative_energy_kj_per_mol_atoms": 0.0, "total_energy_ev_per_cell": -22.11, "lattice": [[4.924, 0.000, 0.000], [0.000, 4.924, 0.000], [0.000, 0.000, 4.924]], "species": ["K", "Pd", "Pd", "Pd", "Ru"], "fractional_positions": [[0.500, 0.500, 0.500], [0.000, 0.000, 0.500], [0.000, 0.500, 0.000], [0.500, 0.000, 0.000], [0.000, 0.000, 0.000]]}

---

{"formula": "K2Pd2Ru", "functional": "PBE", "state": "optimized geometry", "ef_ev_per_atom": 0.882, "n_ef_per_ev_cell": 6.12, "relative_energy_kj_per_mol_atoms": 36.3, "total_energy_ev_per_cell": -17.45, "lattice": [[3.591, 0.000, 0.000], [0.000, 3.591, 0.000], [1.795, 1.795, 10.671]], "species": ["Pd", "Pd", "K", "K", "Ru"], "fractional_positions": [[0.750, 0.250, 0.500], [0.250, 0.750, 0.500], [0.384, 0.384, 0.232], [0.616, 0.616, 0.768], [0.000, 0.000, 0.000]]}

---

{"formula": "K2Pd2Ru", "functional": "PBE", "state": "optimized geometry", "ef_ev_per_atom": 1.001, "n_ef_per_ev_cell": 10.79, "relative_energy_kj_per_mol_atoms": 47.7, "total_energy_ev_per_cell": -33.71, "lattice": [[8.915, 0.000, 0.000], [0.000, 8.915, 0.000], [0.000, 0.000, 2.775]], "species": ["Pd", "Pd", "Pd", "Pd", "K", "K", "K", "K", "Ru", "Ru"], "fractional_positions": [[0.317, 0.183, 0.500], [0.817, 0.317, 0.500], [0.683, 0.817, 0.500], [0.183, 0.683, 0.500], [0.379, 0.879, 0.000], [0.879, 0.621, 0.000], [0.121, 0.379, 0.000], [0.621, 0.121, 0.000], [0.500, 0.500, 0.000], [0.000, 0.000, 0.000]]}

---

{"formula": "K2Pd2Ru", "functional": "PBE", "state": "optimized geometry", "ef_ev_per_atom": 0.506, "n_ef_per_ev_cell": 5.88, "relative_energy_kj_per_mol_atoms": 0.0, "total_energy_ev_per_cell": -38.65, "lattice": [[-3.644, 3.924, 3.928], [-4.399, 0.827, -4.906], [-2.801, -4.377, 1.774]], "species": ["Pd", "Pd", "Pd", "Pd", "Ru", "Ru", "K", "K", "K", "K"], "fractional_positions": [[0.139, 0.361, 0.000], [0.639, 0.139, 0.000], [0.361, 0.861, 0.000], [0.861, 0.639, 0.000], [0.500, 0.500, 0.000], [0.000, 0.000, 0.000], [0.319, 0.181, 0.500], [0.181, 0.681, 0.500], [0.819, 0.319, 0.500], [0.681, 0.819, 0.500]]}

---

{"formula": "KV2PdRu", "functional": "PBE", "state": "optimized geometry", "ef_ev_per_atom": 1.362, "n_ef_per_ev_cell": 8.39, "total_energy_ev_per_cell": -26.99, "lattice": [[-3.529, 1.712, -2.902], [-1.000, -4.691, -1.551], [-3.227, -0.510, 3.624]], "species": ["Ru", "Pd", "V", "V", "K"], "fractional_positions": [[0.000, 0.500, 0.000], [0.000, 0.000, 0.000], [0.500, 0.000, 0.000], [0.000, 0.000, 0.500], [0.500, 0.500, 0.500]]}

---

{"formula": "KPdS", "functional": "PBE", "state": "optimized geometry", "formation_energy_uncorrected_ev_per_atom": -0.4509, "n_ef_per_ev_cell": 1.97, "total_energy_ev_per_cell": -11.77, "lattice": [[-1.947, 2.648, 1.273], [-2.782, -2.152, 0.220], [3.858, -1.647, 4.448]], "species": ["K", "Pd", "S"], "fractional_positions": [[0.002, 0.002, 0.003], [0.268, 0.268, 0.537], [0.730, 0.730, 0.460]]}

---

{"formula": "KPd3S2", "functional": "PBE", "state": "optimized geometry", "formation_energy_uncorrected_ev_per_atom": -0.4543, "n_ef_per_ev_cell": 8.14, "total_energy_ev_per_cell": -55.31, "lattice": [[3.904, 0.000, 0.000], [-1.952, 7.493, 0.072], [0.000, -3.308, 8.096]], "species": ["K", "K", "Pd", "Pd", "Pd", "Pd", "Pd", "Pd", "S", "S", "S", "S"], "fractional_positions": [[0.863, 0.726, 0.957], [0.137, 0.274, 0.043], [0.602, 0.204, 0.644], [0.313, 0.626, 0.593], [0.398, 0.796, 0.356], [0.687, 0.374, 0.407], [0.956, 0.912, 0.620], [0.044, 0.088, 0.380], [0.800, 0.599, 0.283], [0.478, 0.957, 0.776], [0.522, 0.043, 0.224], [0.200, 0.401, 0.717]]}

---

{"formula": "K2PdS4", "functional": "PBE", "state": "optimized geometry", "formation_energy_uncorrected_ev_per_atom": -0.2498, "n_ef_per_ev_cell": 4.35, "total_energy_ev_per_cell": -25.65, "lattice": [[-3.241, -0.429, 3.642], [-3.624, -0.373, -3.269], [-2.526, -8.212, 0.074]], "species": ["K", "K", "S", "S", "S", "S", "Pd"], "fractional_positions": [[0.357, 0.357, 0.286], [0.643, 0.643, 0.714], [0.000, 0.500, 0.000], [0.148, 0.148, 0.704], [0.852, 0.852, 0.296], [0.500, 0.000, 0.000], [0.000, 0.000, 0.000]]}

---

{"formula": "KPd2S", "functional": "PBE", "state": "optimized geometry", "formation_energy_uncorrected_ev_per_atom": -0.5004, "n_ef_per_ev_cell": 1.51, "total_energy_ev_per_cell": -35.22, "lattice": [[5.389, 0.000, 0.000], [0.000, 5.389, 0.000], [2.694, 2.694, 7.409]], "species": ["Pd", "Pd", "Pd", "Pd", "S", "S", "K", "K"], "fractional_positions": [[0.375, 0.125, 0.250], [0.375, 0.625, 0.250], [0.375, 0.625, 0.750], [0.875, 0.625, 0.750], [0.500, 0.500, 0.000], [0.250, 0.750, 0.500], [0.750, 0.250, 0.500], [0.000, 0.000, 0.000]]}

---

{"formula": "K3Pd2S3", "functional": "PBE", "state": "optimized geometry", "formation_energy_uncorrected_ev_per_atom": -0.6204, "n_ef_per_ev_cell": 10.28, "total_energy_ev_per_cell": -62.05, "lattice": [[-3.912, 1.498, -1.361], [2.820, -3.324, -4.636], [-6.485, -12.425, 4.963]], "species": ["S", "S", "S", "S", "S", "S", "K", "K", "K", "K", "K", "K", "Pd", "Pd", "Pd", "Pd"], "fractional_positions": [[0.693, 0.385, 0.750], [0.656, 0.311, 0.050], [0.344, 0.689, 0.550], [0.344, 0.689, 0.950], [0.656, 0.311, 0.450], [0.307, 0.615, 0.250], [0.073, 0.147, 0.889], [0.927, 0.853, 0.389], [0.073, 0.147, 0.611], [0.370, 0.740, 0.750], [0.630, 0.260, 0.250], [0.927, 0.853, 0.111], [0.225, 0.449, 0.086], [0.225, 0.449, 0.414], [0.775, 0.551, 0.914], [0.775, 0.551, 0.586]]}

---

{"formula": "K5Pd2S5", "functional": "PBE", "state": "optimized geometry", "formation_energy_uncorrected_ev_per_atom": -0.6965, "n_ef_per_ev_cell": 6.70, "total_energy_ev_per_cell": -44.87, "lattice": [[-3.335, 2.757, -0.254], [-2.903, -6.857, 0.655], [0.827, 1.976, 10.600]], "species": ["S", "S", "S", "S", "S", "Pd", "Pd", "K", "K", "K", "K", "K"], "fractional_positions": [[0.595, 0.190, 0.784], [0.000, 0.000, 0.000], [0.881, 0.763, 0.652], [0.405, 0.810, 0.216], [0.119, 0.237, 0.348], [0.973, 0.946, 0.214], [0.027, 0.054, 0.786], [0.215, 0.431, 0.631], [0.785, 0.569, 0.369], [0.500, 0.000, 0.500], [0.366, 0.732, 0.900], [0.634, 0.268, 0.100]]}

---

{"formula": "KPdS2", "functional": "PBE", "state": "optimized geometry", "formation_energy_uncorrected_ev_per_atom": -0.4809, "n_ef_per_ev_cell": 8.35, "total_energy_ev_per_cell": -32.94, "lattice": [[7.380, 0.000, 0.000], [0.000, 7.380, 0.000], [3.690, 3.690, 3.590]], "species": ["S", "S", "S", "S", "K", "K", "Pd", "Pd"], "fractional_positions": [[0.375, 0.272, 0.750], [0.022, 0.625, 0.250], [0.728, 0.125, 0.250], [0.875, 0.978, 0.750], [0.500, 0.500, 0.000], [0.250, 0.750, 0.500], [0.750, 0.250, 0.500], [0.000, 0.000, 0.000]]}

---

{"formula": "KPdS", "functional": "PBE", "state": "optimized geometry", "formation_energy_uncorrected_ev_per_atom": -0.6895, "n_ef_per_ev_cell": 3.41, "total_energy_ev_per_cell": -49.94, "lattice": [[-2.085, -0.995, -3.656], [8.250, -4.047, -3.604], [-2.011, -6.757, 2.985]], "species": ["S", "S", "S", "S", "Pd", "Pd", "Pd", "Pd", "K", "K", "K", "K"], "fractional_positions": [[0.753, 0.245, 0.780], [0.253, 0.255, 0.220], [0.747, 0.755, 0.280], [0.247, 0.745, 0.720], [0.247, 0.738, 0.393], [0.753, 0.238, 0.107], [0.747, 0.762, 0.607], [0.253, 0.262, 0.893], [0.243, 0.947, 0.046], [0.743, 0.553, 0.954], [0.257, 0.053, 0.546], [0.757, 0.447, 0.454]]}

---

{"formula": "KPdS2", "functional": "PBE", "state": "optimized geometry", "formation_energy_uncorrected_ev_per_atom": -0.5467, "n_ef_per_ev_cell": 5.52, "total_energy_ev_per_cell": -33.46, "lattice": [[-0.396, 5.322, -1.094], [-6.923, -0.640, -0.606], [-0.484, -1.385, 7.001]], "species": ["Pd", "Pd", "S", "S", "S", "S", "K", "K"], "fractional_positions": [[0.001, 0.250, 0.002], [0.999, 0.750, 0.998], [0.884, 0.499, 0.768], [0.116, 0.999, 0.232], [0.884, 0.001, 0.768], [0.116, 0.501, 0.232], [0.677, 0.750, 0.354], [0.323, 0.250, 0.646]]}

---

{"formula": "K3PdS3", "functional": "PBE", "state": "optimized geometry", "formation_energy_uncorrected_ev_per_atom": -0.6579, "n_ef_per_ev_cell": 5.54, "total_energy_ev_per_cell": -25.47, "lattice": [[6.305, 0.000, 0.000], [-2.102, 6.199, 0.000], [-2.102, -3.099, 5.368]], "species": ["S", "S", "S", "K", "K", "K", "Pd"], "fractional_positions": [[0.109, 0.636, 0.636], [0.473, 0.364, 0.000], [0.473, 0.000, 0.364], [0.995, 0.427, 0.000], [0.995, 0.000, 0.427], [0.568, 0.573, 0.573], [0.361, 0.000, 0.000]]}

---

{"formula": "KPdS", "functional": "PBE", "state": "optimized geometry", "formation_energy_uncorrected_ev_per_atom": -0.6659, "n_ef_per_ev_cell": 2.40, "total_energy_ev_per_cell": -12.42, "lattice": [[4.967, 0.000, 0.000], [0.000, 4.086, 0.000], [0.000, -2.043, 3.539]], "species": ["S", "K", "Pd"], "fractional_positions": [[0.167, 0.000, 0.000], [0.667, 0.667, 0.333], [0.167, 0.333, 0.667]]}

---

{"formula": "KPdS2", "functional": "PBE", "state": "optimized geometry", "formation_energy_uncorrected_ev_per_atom": -0.4181, "n_ef_per_ev_cell": 8.70, "total_energy_ev_per_cell": -48.65, "lattice": [[-4.641, -3.542, -1.153], [5.446, -2.327, 0.588], [-1.371, -1.021, 8.654]], "species": ["S", "S", "S", "S", "S", "S", "K", "K", "K", "Pd", "Pd", "Pd"], "fractional_positions": [[0.860, 0.720, 0.500], [0.140, 0.860, 0.833], [0.860, 0.140, 0.833], [0.140, 0.280, 0.500], [0.280, 0.140, 0.167], [0.720, 0.860, 0.167], [0.000, 0.500, 0.167], [0.500, 0.000, 0.500], [0.500, 0.500, 0.833], [0.500, 0.000, 0.000], [0.500, 0.500, 0.333], [0.000, 0.500, 0.667]]}

---

{"formula": "KPdS2", "functional": "PBE", "state": "optimized geometry", "formation_energy_uncorrected_ev_per_atom": 0.1259, "n_ef_per_ev_cell": 5.16, "total_energy_ev_per_cell": -14.04, "lattice": [[0.000, 3.391, 3.391], [3.391, 0.000, 3.391], [3.391, 3.391, 0.000]], "species": ["Pd", "K", "S", "S"], "fractional_positions": [[0.500, 0.500, 0.500], [0.000, 0.000, 0.000], [0.750, 0.750, 0.750], [0.250, 0.250, 0.250]]}

---

{"formula": "KPdS", "functional": "PBE", "state": "optimized geometry", "formation_energy_uncorrected_ev_per_atom": -0.6932, "n_ef_per_ev_cell": 1.61, "total_energy_ev_per_cell": -24.99, "lattice": [[-3.241, -2.386, 1.612], [2.525, 0.490, 5.754], [-2.437, 5.217, 2.637]], "species": ["Pd", "Pd", "S", "S", "K", "K"], "fractional_positions": [[0.524, 0.968, 0.121], [0.022, 0.207, 0.926], [0.025, 0.843, 0.224], [0.521, 0.332, 0.823], [0.021, 0.770, 0.737], [0.525, 0.406, 0.309]]}

---

{"formula": "KPdS2", "functional": "PBE", "state": "optimized geometry", "formation_energy_uncorrected_ev_per_atom": -0.4936, "n_ef_per_ev_cell": 4.15, "total_energy_ev_per_cell": -16.52, "lattice": [[-3.551, 1.333, -0.121], [-2.930, -2.359, 0.499], [-1.947, 0.853, 7.029]], "species": ["K", "S", "S", "Pd"], "fractional_positions": [[0.499, 0.499, 0.504], [0.277, 0.277, 0.169], [0.057, 0.057, 0.830], [0.668, 0.668, 0.997]]}

---

{"formula": "K2SbPdS4", "functional": "PBE", "state": "optimized geometry", "formation_energy_uncorrected_ev_per_atom": -0.4880, "n_ef_per_ev_cell": 7.44, "total_energy_ev_per_cell": -63.85, "lattice": [[-6.264, -2.440, -1.263], [-0.483, -5.332, -5.825], [-1.588, -8.620, 6.014]], "species": ["Sb", "Sb", "K", "K", "K", "K", "S", "S", "S", "S", "S", "S", "S", "S", "Pd", "Pd"], "fractional_positions": [[0.500, 0.000, 0.000], [0.250, 0.500, 0.500], [0.173, 0.000, 0.655], [0.923, 0.500, 0.155], [0.577, 0.500, 0.845], [0.827, 0.000, 0.345], [0.312, 0.795, 0.091], [0.438, 0.705, 0.409], [0.153, 0.295, 0.409], [0.857, 0.705, 0.591], [0.198, 0.205, 0.909], [0.552, 0.295, 0.591], [0.893, 0.795, 0.909], [0.597, 0.205, 0.091], [0.750, 0.500, 0.500], [0.000, 0.000, 0.000]]}

---

{"formula": "K2PdSeS", "functional": "PBE", "state": "optimized geometry", "formation_energy_uncorrected_ev_per_atom": 0.0077, "n_ef_per_ev_cell": 3.72, "total_energy_ev_per_cell": -14.96, "lattice": [[-0.197, -5.339, -2.400], [-1.666, -1.872, 4.302], [-5.516, 0.973, -1.712]], "species": ["Pd", "S", "K", "K", "Se"], "fractional_positions": [[0.500, 0.500, 0.500], [0.000, 0.000, 0.000], [0.000, 0.000, 0.500], [0.500, 0.000, 0.000], [0.000, 0.500, 0.000]]}